{
  "formula": "BeZnS3",
  "functional": "PBE",
  "state": "relaxed",
  "dos_at_fermi_per_ev_atom": 0.782,
  "polymorph_energy_ev_per_atom": 0.572,
  "magmom_total_mub_per_fu": 0.00,
  "e_form_raw_ev_per_atom": 0.932,
  "space_group": "No. 221",
  "lattice": [[4.610, 0.000, 0.000], [0.000, 4.610, 0.000], [0.000, 0.000, 4.610]],
  "species": ["Be", "Zn", "S", "S", "S"],
  "frac_coords": [[0.000, 0.000, 0.000], [0.500, 0.500, 0.500], [0.000, 0.500, 0.500], [0.500, 0.000, 0.500], [0.500, 0.500, 0.000]]
}